Record 1
# MnAg2Pt, relaxed, DFT PBE
# Formation enthalpy at 0 K: -0.024 eV per atom
data_MnAg2Pt
_symmetry_space_group_name_H-M 'I -4 m 2'
_symmetry_Int_Tables_number 119
_symmetry_space_group_name_Hall 'I -4 -2'
_cell_length_a 4.095
_cell_length_b 4.095
_cell_length_c 7.828
_cell_angle_alpha 90.00
_cell_angle_beta 90.00
_cell_angle_gamma 90.00
loop_
_atom_site_label
_atom_site_type_symbol
_atom_site_fract_x
_atom_site_fract_y
_atom_site_fract_z
Mn1 Mn 0.000 0.000 0.000
Ag1 Ag 0.000 0.000 0.500
Ag2 Ag 0.000 0.500 0.750
Pt1 Pt 0.000 0.500 0.250

***

Record 2
# HfNbRu4, relaxed, DFT PBE
# Formation enthalpy at 0 K: -0.194 eV per atom
data_HfNbRu4
_symmetry_space_group_name_H-M 'F -4 3 m'
_symmetry_Int_Tables_number 216
_symmetry_space_group_name_Hall 'F -4 2 3'
_cell_length_a 7.284
_cell_length_b 7.284
_cell_length_c 7.284
_cell_angle_alpha 90.00
_cell_angle_beta 90.00
_cell_angle_gamma 90.00
loop_
_atom_site_label
_atom_site_type_symbol
_atom_site_fract_x
_atom_site_fract_y
_atom_site_fract_z
Hf1 Hf 0.000 0.000 0.000
Nb1 Nb 0.250 0.250 0.250
Ru1 Ru 0.126 0.126 0.626

***

Record 3
# BeIr, relaxed, DFT PBE
# Formation enthalpy at 0 K: 0.279 eV per atom
data_BeIr
_symmetry_space_group_name_H-M 'P 63/m m c'
_symmetry_Int_Tables_number 194
_symmetry_space_group_name_Hall '-P 6c 2c'
_cell_length_a 3.8031
_cell_length_b 3.8031
_cell_length_c 4.4393
_cell_angle_alpha 90.00
_cell_angle_beta 90.00
_cell_angle_gamma 120.00
loop_
_atom_site_label
_atom_site_type_symbol
_atom_site_fract_x
_atom_site_fract_y
_atom_site_fract_z
Be1 Be 0.3333 0.6667 0.2500
Ir1 Ir 0.3333 0.6667 0.7500

***

Record 4
# NaLaInBi, relaxed, DFT PBE
# Formation enthalpy at 0 K: -0.398 eV per atom
data_NaLaInBi
_symmetry_space_group_name_H-M 'F -4 3 m'
_symmetry_Int_Tables_number 216
_symmetry_space_group_name_Hall 'F -4 2 3'
_cell_length_a 7.872
_cell_length_b 7.872
_cell_length_c 7.872
_cell_angle_alpha 90.00
_cell_angle_beta 90.00
_cell_angle_gamma 90.00
loop_
_atom_site_label
_atom_site_type_symbol
_atom_site_fract_x
_atom_site_fract_y
_atom_site_fract_z
Na1 Na 0.000 0.000 0.000
La1 La 0.000 0.000 0.500
In1 In 0.250 0.250 0.250
Bi1 Bi 0.250 0.250 0.750

***

Record 5
# CaRe2Te, relaxed, DFT PBE
# E: -0.2405 hartree per atom
data_CaRe2Te
_symmetry_space_group_name_H-M 'C m m m'
_symmetry_Int_Tables_number 65
_symmetry_space_group_name_Hall '-C 2 2'
_cell_length_a 5.497
_cell_length_b 9.044
_cell_length_c 3.122
_cell_angle_alpha 90.00
_cell_angle_beta 90.00
_cell_angle_gamma 90.00
loop_
_atom_site_label
_atom_site_type_symbol
_atom_site_fract_x
_atom_site_fract_y
_atom_site_fract_z
Ca1 Ca 0.000 0.000 0.000
Re1 Re 0.250 0.250 0.500
Te1 Te 0.000 0.500 0.000

***

Record 6
# SrLa2Zr2, relaxed, DFT PBE
# Formation enthalpy at 0 K: 0.295 eV per atom
data_SrLa2Zr2
_symmetry_space_group_name_H-M 'P 4/m b m'
_symmetry_Int_Tables_number 127
_symmetry_space_group_name_Hall '-P 4 2ab'
_cell_length_a 9.692
_cell_length_b 9.692
_cell_length_c 3.405
_cell_angle_alpha 90.00
_cell_angle_beta 90.00
_cell_angle_gamma 90.00
loop_
_atom_site_label
_atom_site_type_symbol
_atom_site_fract_x
_atom_site_fract_y
_atom_site_fract_z
Sr1 Sr 0.000 0.000 0.000
La1 La 0.182 0.318 0.000
Zr1 Zr 0.112 0.612 0.500

***

Record 7
# Zn2PtW, relaxed, DFT PBE
# Formation enthalpy at 0 K: -0.037 eV per atom
data_Zn2PtW
_symmetry_space_group_name_H-M 'P 1 m 1'
_symmetry_Int_Tables_number 6
_symmetry_space_group_name_Hall 'P -2y'
_cell_length_a 2.741
_cell_length_b 4.255
_cell_length_c 5.383
_cell_angle_alpha 90.00
_cell_angle_beta 104.35
_cell_angle_gamma 90.00
loop_
_atom_site_label
_atom_site_type_symbol
_atom_site_fract_x
_atom_site_fract_y
_atom_site_fract_z
Zn1 Zn 0.000 0.000 0.000
Zn2 Zn 0.398 0.500 0.804
Pt1 Pt 0.143 0.500 0.293
W1 W 0.743 0.000 0.497

***

Record 8
# PmPr3Pb2, relaxed, DFT PBE
# Formation enthalpy at 0 K: -0.445 eV per atom
data_PmPr3Pb2
_symmetry_space_group_name_H-M 'P -4 m 2'
_symmetry_Int_Tables_number 115
_symmetry_space_group_name_Hall 'P -4 -2'
_cell_length_a 4.717
_cell_length_b 4.717
_cell_length_c 8.993
_cell_angle_alpha 90.00
_cell_angle_beta 90.00
_cell_angle_gamma 90.00
loop_
_atom_site_label
_atom_site_type_symbol
_atom_site_fract_x
_atom_site_fract_y
_atom_site_fract_z
Pm1 Pm 0.000 0.000 0.000
Pr1 Pr 0.000 0.500 0.349
Pr2 Pr 0.500 0.500 0.000
Pb1 Pb 0.000 0.500 0.718